Entry 1:
The following is a PBE-GGA calculation of a relaxed structure of AcGaBiPt, from Alexandria.

The structure in POSCAR format:
```
AcGaBiPt
1.0
5.241 0.000 0.000
2.620 4.539 0.000
2.620 1.513 4.279
Ac Ga Bi Pt
1 1 1 1
Cartesian
7.861 4.539 3.209
0.000 0.000 0.000
2.620 1.513 1.070
5.241 3.026 2.140
```

ΔH_f (0 K): -50.92 kJ/mol of atoms

---

Entry 2:
The following is a PBE-GGA calculation of a relaxed structure of AcGaBiRh, from Alexandria.

The structure in POSCAR format:
```
AcGaBiRh
1.0
-3.704 2.337 2.745
-3.745 -2.803 2.199
-0.142 -0.544 5.138
Ac Rh Bi Ga
1 1 1 1
Cartesian
-3.796 -0.505 5.041
-5.694 -0.757 7.562
0.000 0.000 0.000
-1.898 -0.252 2.521
```

ΔH_f (0 K): -38.62 kJ/mol of atoms

---

Entry 3:
The following is a PBE-GGA calculation of a relaxed structure of AcGaBiSb, from Alexandria.

The structure in POSCAR format:
```
AcGaBiSb
1.0
-3.218 -2.888 3.496
-3.874 -3.454 -1.997
0.661 -5.500 0.488
Sb Ac Bi Ga
1 1 1 1
Cartesian
0.000 0.000 0.000
-1.608 -2.960 0.497
-4.824 -8.881 1.491
-3.216 -5.921 0.994
```

raw total energy: -4.1314 eV/atom

---

Entry 4:
The following is a PBE-GGA calculation of a relaxed structure of AcGaSnBi, from Alexandria.

The structure in POSCAR format:
```
AcGaSnBi
1.0
-5.060 2.143 0.852
-4.128 -1.119 -3.554
-4.192 -3.304 1.559
Ac Bi Ga Sn
1 1 1 1
Cartesian
-6.690 -1.140 -0.571
0.000 0.000 0.000
-10.035 -1.710 -0.857
-3.345 -0.570 -0.286
```

ΔH_f (0 K): -25.30 kJ/mol of atoms

---

Entry 5:
The following is a PBE-GGA calculation of a relaxed structure of AcZnGaBi, from Alexandria.

The structure in POSCAR format:
```
AcZnGaBi
1.0
-5.353 -0.145 -0.410
-2.304 -0.933 -4.761
-2.499 -4.667 -0.905
Zn Ac Bi Ga
1 1 1 1
Cartesian
-7.617 -4.309 -4.558
0.000 0.000 0.000
-5.078 -2.873 -3.038
-2.539 -1.436 -1.519
```

ΔH_f (0 K): -25.61 kJ/mol of atoms

---

Entry 6:
The following is a PBE-GGA calculation of a relaxed structure of AcGdBi, from Alexandria.

The structure in POSCAR format:
```
AcGdBi
1.0
-2.205 -4.141 2.894
3.171 -4.185 1.678
1.205 -0.573 5.348
Ac Gd Bi
1 1 1
Cartesian
1.085 -4.450 4.960
0.000 0.000 0.000
0.543 -2.225 2.480
```

ΔH_f (0 K): -33.52 kJ/mol of atoms
distance to the lowest polymorph of the same formula: 0.1635 eV per atom

---

Entry 7:
The following is a PBE-GGA calculation of a relaxed structure of AcGdBi, from Alexandria.

The structure in POSCAR format:
```
AcGdBi
1.0
-3.223 0.131 -2.938
1.377 -4.927 -1.729
-3.607 0.554 3.981
Ac Gd Bi
1 1 1
Cartesian
-0.001 0.000 -0.001
-3.558 -1.208 0.607
-1.894 -3.035 -1.293
```

ΔH_f (0 K): -34.76 kJ/mol of atoms
distance to the lowest polymorph of the same formula: 0.1506 eV per atom

---

Entry 8:
The following is a PBE-GGA calculation of a relaxed structure of AcGdBi2, from Alexandria.

The structure in POSCAR format:
```
AcGdBi2
1.0
4.016 0.000 0.000
0.000 4.016 0.000
0.000 0.000 8.239
Ac Gd Bi
1 1 2
Cartesian
2.008 2.008 4.119
2.008 2.008 0.000
0.000 0.000 6.347
0.000 0.000 1.892
```

ΔH_f (0 K): -69.11 kJ/mol of atoms
distance to the lowest polymorph of the same formula: 0.0000 eV per atom

---

Entry 9:
The following is a PBE-GGA calculation of a relaxed structure of Ac2GdBi, from Alexandria.

The structure in POSCAR format:
```
Ac2GdBi
1.0
4.290 0.000 0.000
2.145 3.715 0.000
2.145 1.238 11.635
Ac Gd Bi
2 1 1
Cartesian
2.145 1.238 8.027
6.435 3.715 3.608
0.000 0.000 0.000
4.290 2.477 5.817
```

ΔH_f (0 K): 7.15 kJ/mol of atoms
distance to the lowest polymorph of the same formula: 0.4297 eV per atom

---

Entry 10:
The following is a PBE-GGA calculation of a relaxed structure of AcGdBi2, from Alexandria.

The structure in POSCAR format:
```
AcGdBi2
1.0
4.017 0.000 0.000
2.009 3.479 0.000
2.009 1.160 11.226
Ac Gd Bi
1 1 2
Cartesian
0.000 0.000 0.000
4.017 2.319 5.613
2.009 1.160 7.885
6.026 3.479 3.342
```

ΔH_f (0 K): -19.39 kJ/mol of atoms
distance to the lowest polymorph of the same formula: 0.5153 eV per atom

---

Entry 11:
The following is a PBE-GGA calculation of a relaxed structure of AcGdBi4, from Alexandria.

The structure in POSCAR format:
```
AcGdBi4
1.0
6.628 0.000 0.000
3.314 5.740 0.000
3.314 1.913 5.412
Ac Gd Bi
1 1 4
Cartesian
3.314 1.913 1.353
0.000 0.000 0.000
6.628 3.827 0.670
6.628 1.907 3.385
8.291 4.787 3.385
4.966 4.787 3.385
```

ΔH_f (0 K): -26.40 kJ/mol of atoms

---

Entry 12:
The following is a PBE-GGA calculation of a relaxed structure of AcGdBi, from Alexandria.

The structure in POSCAR format:
```
AcGdBi
1.0
4.197 0.000 0.000
0.000 4.197 0.000
-2.099 -2.099 6.023
Ac Gd Bi
1 1 1
Cartesian
0.000 0.000 3.329
2.099 2.099 5.760
2.099 2.099 1.150
```

ΔH_f (0 K): -49.29 kJ/mol of atoms
distance to the lowest polymorph of the same formula: 0.0000 eV per atom

---

Entry 13:
The following is a PBE-GGA calculation of a relaxed structure of AcGdBi2, from Alexandria.

The structure in POSCAR format:
```
AcGdBi2
1.0
-1.622 -2.858 4.704
3.954 -2.059 3.612
0.673 2.380 5.177
Ac Gd Bi
1 1 2
Cartesian
1.502 -1.269 6.747
0.000 0.000 0.000
0.751 -0.634 3.373
2.253 -1.903 10.120
```

ΔH_f (0 K): -68.59 kJ/mol of atoms
distance to the lowest polymorph of the same formula: 0.0054 eV per atom

---

Entry 14:
The following is a PBE-GGA calculation of a relaxed structure of Ac2GdBi, from Alexandria.

The structure in POSCAR format:
```
Ac2GdBi
1.0
-4.032 -1.784 -0.389
1.826 -3.922 -0.939
0.058 -1.768 7.502
Ac Gd Bi
2 1 1
Cartesian
0.043 -1.295 5.495
0.016 -0.473 2.008
-1.103 -2.853 -0.664
-1.074 -3.737 3.087
```

ΔH_f (0 K): -33.09 kJ/mol of atoms
distance to the lowest polymorph of the same formula: 0.0127 eV per atom

---

Entry 15:
The following is a PBE-GGA calculation of a relaxed structure of Ac2GdBi, from Alexandria.

The structure in POSCAR format:
```
Ac2GdBi
1.0
-0.478 2.884 4.126
2.128 -3.876 2.956
4.848 2.015 -0.847
Ac Gd Bi
2 1 1
Cartesian
2.424 1.008 -0.424
1.064 -1.938 1.478
3.249 0.512 3.117
-0.239 1.442 2.063
```

ΔH_f (0 K): -34.31 kJ/mol of atoms
distance to the lowest polymorph of the same formula: 0.0000 eV per atom

---

Entry 16:
The following is a PBE-GGA calculation of a relaxed structure of AcGdBiI, from Alexandria.

The structure in POSCAR format:
```
AcGdBiI
1.0
-1.684 5.357 -1.052
-2.197 1.355 -5.097
-5.564 1.203 -0.484
I Ac Gd Bi
1 1 1 1
Cartesian
-4.722 3.957 -3.317
-7.084 5.936 -4.975
-2.361 1.979 -1.658
0.000 0.000 0.000
```

raw total energy: -6.7542 eV/atom

---

Entry 17:
The following is a PBE-GGA calculation of a relaxed structure of AcGdInBi, from Alexandria.

The structure in POSCAR format:
```
AcGdInBi
1.0
5.684 0.000 0.000
2.842 4.922 0.000
2.842 1.641 4.641
Ac Gd Bi In
1 1 1 1
Cartesian
5.684 3.282 2.320
0.000 0.000 0.000
8.526 4.922 3.481
2.842 1.641 1.160
```

ΔH_f (0 K): -46.70 kJ/mol of atoms

---

Entry 18:
The following is a PBE-GGA calculation of a relaxed structure of AcLaGdBi, from Alexandria.

The structure in POSCAR format:
```
AcLaGdBi
1.0
-4.934 1.636 2.480
-4.111 -3.888 1.073
-1.149 -1.553 5.426
Ac Gd Bi La
1 1 1 1
Cartesian
-2.548 -0.951 2.245
0.000 0.000 0.000
-7.645 -2.853 6.734
-5.097 -1.902 4.490
```

ΔH_f (0 K): -21.18 kJ/mol of atoms

---

Entry 19:
The following is a PBE-GGA calculation of a relaxed structure of LiAcGdBi, from Alexandria.

The structure in POSCAR format:
```
LiAcGdBi
1.0
-1.535 -0.702 5.373
-0.644 -5.191 2.090
3.697 -2.007 3.746
Ac Gd Bi Li
1 1 1 1
Cartesian
1.138 -5.925 8.406
0.379 -1.975 2.802
0.759 -3.950 5.604
0.000 0.000 0.000
```

ΔH_f (0 K): -29.95 kJ/mol of atoms

---

Entry 20:
The following is a PBE-GGA calculation of a relaxed structure of AcGdMgBi, from Alexandria.

The structure in POSCAR format:
```
AcGdMgBi
1.0
5.684 0.000 0.000
2.842 4.923 0.000
2.842 1.641 4.641
Mg Ac Gd Bi
1 1 1 1
Cartesian
0.000 0.000 0.000
8.526 4.923 3.481
2.842 1.641 1.160
5.684 3.282 2.321
```

ΔH_f (0 K): -32.03 kJ/mol of atoms